--- A ---
A plane-wave DFT calculation with PBE-GGA was carried out for a geometry-optimized SrCrFe2 structure.

Cell and atoms, written as POSCAR:
```
SrCrFe2
1.0
-4.966 -2.424 1.351
-1.373 -4.765 -2.787
3.569 2.681 3.526
Cr Fe Sr
1 2 1
Direct
0.218 0.718 0.500
0.973 0.973 0.000
0.795 0.295 0.500
0.514 0.514 0.000
```

Values from the calculation:
The space-group type is No. 44.

---

--- B ---
A plane-wave DFT calculation with PBE-GGA was carried out for a geometry-optimized SrCrFe2 structure.

Cell and atoms, written as POSCAR:
```
SrCrFe2
1.0
-2.972 1.108 2.565
-3.135 -2.511 0.715
0.846 -2.813 5.429
Cr Fe Sr
1 2 1
Direct
0.315 0.315 0.054
0.985 0.985 0.044
0.696 0.696 0.910
0.503 0.503 0.492
```

Values from the calculation:
The space-group type is No. 8.

---

--- C ---
A plane-wave DFT calculation with PBE-GGA was carried out for a geometry-optimized SrCrFe2 structure.

Cell and atoms, written as POSCAR:
```
SrCrFe2
1.0
-0.174 -4.686 -0.487
3.448 0.205 -3.208
6.604 -2.975 3.444
Sr Fe Cr
2 4 2
Direct
0.000 0.000 0.000
0.750 0.250 0.500
0.375 0.125 0.250
0.375 0.625 0.250
0.375 0.625 0.750
0.875 0.625 0.750
0.500 0.500 0.000
0.250 0.750 0.500
```

Values from the calculation:
The space-group type is No. 141.

---

--- D ---
A plane-wave DFT calculation with PBE-GGA was carried out for a geometry-optimized SrCrFe2 structure.

Cell and atoms, written as POSCAR:
```
SrCrFe2
1.0
0.000 3.114 3.114
3.114 0.000 3.114
3.114 3.114 0.000
Sr Fe Cr
1 2 1
Direct
0.500 0.500 0.500
0.250 0.250 0.250
0.750 0.750 0.750
0.000 0.000 0.000
```

Values from the calculation:
The space-group type is No. 225.

---

Which one is most stable, and which one is least stable? B is the most stable of them, while D is the least stable.

---

--- A ---
A plane-wave DFT calculation with PBE-GGA was carried out for a geometry-optimized SrCrFe3 structure.

Cell and atoms, written as POSCAR:
```
SrCrFe3
1.0
4.749 0.000 0.000
0.000 4.749 0.000
0.000 0.000 4.749
Sr Fe Cr
1 3 1
Direct
0.000 0.000 0.000
0.000 0.500 0.000
0.000 0.000 0.500
0.500 0.000 0.000
0.500 0.500 0.500
```

Values from the calculation:
The space-group type is No. 221.

---

--- B ---
A plane-wave DFT calculation with PBE-GGA was carried out for a geometry-optimized SrCrFe3 structure.

Cell and atoms, written as POSCAR:
```
SrCrFe3
1.0
-1.237 3.558 -2.419
-1.890 -2.710 -3.020
-3.865 0.186 2.251
Sr Fe Cr
1 3 1
Direct
0.500 0.500 0.500
0.000 0.500 0.000
0.000 0.000 0.500
0.500 0.000 0.000
0.000 0.000 0.000
```

Values from the calculation:
The space-group type is No. 221.

---

Which one is most stable, and which one is least stable? B is the most stable of them, while A is the least stable.

---

--- A ---
A plane-wave DFT calculation with PBE-GGA was carried out for a geometry-optimized TaCrFe structure.

Cell and atoms, written as POSCAR:
```
TaCrFe
1.0
-2.654 -3.667 -1.677
3.597 1.902 -2.598
2.084 -4.340 -0.355
Ta Cr Fe
2 2 2
Direct
0.750 0.878 0.372
0.250 0.122 0.628
0.500 0.000 0.000
0.000 0.500 0.000
0.000 0.500 0.500
0.500 0.500 0.000
```

Values from the calculation:
The space-group type is No. 74.

---

--- B ---
A plane-wave DFT calculation with PBE-GGA was carried out for a geometry-optimized TaCrFe structure.

Cell and atoms, written as POSCAR:
```
TaCrFe
1.0
4.932 0.002 -0.004
3.054 3.875 0.001
-3.992 -1.941 2.153
Cr Fe Ta
1 1 1
Direct
0.008 0.008 0.000
0.659 0.659 0.000
0.333 0.333 0.000
```

Values from the calculation:
The space-group type is No. 107.

---

Which one is most stable, and which one is least stable? A is the most stable of them, while B is the least stable.